Entry 1:
This record from the Alexandria database describes an optimized crystal structure of CaGd2Er. The functional is PBE-GGA.

abc: 3.6178 3.6178 10.3548
angles: 90.00 90.00 90.00
Closest atoms and distances in Å follow each position.
Fractional positions:
1 Ca 0.5000 0.5000 0.5000  4 Ca 3.62, 8 Gd 3.79
2 Gd 0.0000 0.0000 0.7703  4 Er 3.49, 4 Gd 3.62, 4 Ca 3.79
3 Gd 0.0000 0.0000 0.2297  4 Er 3.49, 4 Gd 3.62, 4 Ca 3.79
4 Er 0.5000 0.5000 0.0000  8 Gd 3.49, 4 Er 3.62

Output
Its symmetry is P4/mmm, No. 123. For the uncorrected energy, the calculation gives -34.500 eV for the cell shown. The relative energy among the computed polymorphs is 0.0 kJ per mole of atoms. For the energy relative to the elements, the calculation gives 57 meV/atom.



Entry 2:
This record from the Alexandria database describes an optimized crystal structure of Ca2GdEr. The functional is PBE-GGA.

abc: 3.6759 3.6759 10.6341
angles: 90.00 90.00 90.00
Closest atoms and distances in Å follow each position.
Fractional positions:
1 Ca 0.0000 0.0000 0.7530  4 Ca 3.68, 4 Er 3.70, 4 Gd 3.74
2 Ca 0.0000 0.0000 0.2470  4 Ca 3.68, 4 Er 3.70, 4 Gd 3.74
3 Gd 0.5000 0.5000 0.5000  4 Gd 3.68, 8 Ca 3.74
4 Er 0.5000 0.5000 0.0000  4 Er 3.68, 8 Ca 3.70

Output
Its symmetry is P4/mmm, No. 123. For the uncorrected energy, the calculation gives -21.996 eV for the cell shown. The relative energy among the computed polymorphs is 0.0 kJ per mole of atoms. For the energy relative to the elements, the calculation gives 163 meV/atom.



Entry 3:
This record from the Alexandria database describes an optimized crystal structure of Ca2GdEr. The functional is PBE-GGA.

abc: 5.8509 5.8509 5.8509
angles: 60.00 60.00 60.00
Closest atoms and distances in Å follow each position.
Fractional positions:
1 Ca 0.2500 0.2500 0.2500  4 Gd 3.58, 4 Er 3.58
2 Ca 0.7500 0.7500 0.7500  4 Gd 3.58, 4 Er 3.58
3 Gd 0.5000 0.5000 0.5000  8 Ca 3.58
4 Er 0.0000 0.0000 0.0000  8 Ca 3.58

Output
Its symmetry is Fm-3m, No. 225. For the uncorrected energy, the calculation gives -21.913 eV for the cell shown. The relative energy among the computed polymorphs is 2.0 kJ per mole of atoms. For the energy relative to the elements, the calculation gives 184 meV/atom.



Entry 4:
This record from the Alexandria database describes an optimized crystal structure of CaGd2Er. The functional is PBE-GGA.

abc: 5.7451 5.7451 5.7451
angles: 60.00 60.00 60.00
Closest atoms and distances in Å follow each position.
Fractional positions:
1 Ca 0.5000 0.5000 0.5000  8 Gd 3.52
2 Gd 0.2500 0.2500 0.2500  4 Ca 3.52, 4 Er 3.52
3 Gd 0.7500 0.7500 0.7500  4 Ca 3.52, 4 Er 3.52
4 Er 0.0000 0.0000 0.0000  8 Gd 3.52

Output
Its symmetry is Fm-3m, No. 225. For the uncorrected energy, the calculation gives -34.192 eV for the cell shown. The relative energy among the computed polymorphs is 7.4 kJ per mole of atoms. For the energy relative to the elements, the calculation gives 134 meV/atom.



Entry 5:
This record from the Alexandria database describes an optimized crystal structure of CaGdHoEr. The functional is PBE-GGA.

abc: 5.7285 5.7285 5.7285
angles: 60.00 60.00 60.00
Closest atoms and distances in Å follow each position.
Fractional positions:
1 Ca 0.7500 0.7500 0.7500  4 Ho 3.51, 4 Gd 3.51
2 Gd 0.5000 0.5000 0.5000  4 Er 3.51, 4 Ca 3.51
3 Ho 0.0000 0.0000 0.0000  4 Ca 3.51, 4 Er 3.51
4 Er 0.2500 0.2500 0.2500  4 Ho 3.51, 4 Gd 3.51

Output
Its symmetry is F-43m, No. 216. For the uncorrected energy, the calculation gives -24.599 eV for the cell shown. For the energy relative to the elements, the calculation gives 156 meV/atom.



Entry 6:
This record from the Alexandria database describes an optimized crystal structure of CaLaGdEr. The functional is PBE-GGA.

abc: 5.8341 5.8341 5.8341
angles: 60.00 60.00 60.00
Closest atoms and distances in Å follow each position.
Fractional positions:
1 Ca 0.2500 0.2500 0.2500  4 Gd 3.57, 4 La 3.57
2 Gd 0.0000 0.0000 0.0000  4 Ca 3.57, 4 Er 3.57
3 La 0.5000 0.5000 0.5000  4 Er 3.57, 4 Ca 3.57
4 Er 0.7500 0.7500 0.7500  4 Gd 3.57, 4 La 3.57

Output
Its symmetry is F-43m, No. 216. For the uncorrected energy, the calculation gives -25.109 eV for the cell shown. For the energy relative to the elements, the calculation gives 116 meV/atom.



Entry 7:
This record from the Alexandria database describes an optimized crystal structure of CaGdErMg. The functional is PBE-GGA.

abc: 5.5759 5.5759 5.5759
angles: 60.00 60.00 60.00
Closest atoms and distances in Å follow each position.
Fractional positions:
1 Ca 0.5000 0.5000 0.5000  4 Gd 3.41, 4 Er 3.41
2 Gd 0.7500 0.7500 0.7500  4 Ca 3.41, 4 Mg 3.41
3 Mg 0.0000 0.0000 0.0000  4 Gd 3.41, 4 Er 3.41
4 Er 0.2500 0.2500 0.2500  4 Ca 3.41, 4 Mg 3.41

Output
Its symmetry is F-43m, No. 216. For the uncorrected energy, the calculation gives -21.908 eV for the cell shown. For the energy relative to the elements, the calculation gives 83 meV/atom.



Entry 8:
This record from the Alexandria database describes an optimized crystal structure of CaNdGdEr. The functional is PBE-GGA.

abc: 5.7930 5.7930 5.7930
angles: 60.00 60.00 60.00
Closest atoms and distances in Å follow each position.
Fractional positions:
1 Ca 0.2500 0.2500 0.2500  4 Gd 3.55, 4 Nd 3.55
2 Gd 0.0000 0.0000 0.0000  4 Er 3.55, 4 Ca 3.55
3 Nd 0.5000 0.5000 0.5000  4 Ca 3.55, 4 Er 3.55
4 Er 0.7500 0.7500 0.7500  4 Nd 3.55, 4 Gd 3.55

Output
Its symmetry is F-43m, No. 216. For the uncorrected energy, the calculation gives -24.921 eV for the cell shown. For the energy relative to the elements, the calculation gives 123 meV/atom.